Compound: K2PbC
Source: the Alexandria database
Functional: PBE-GGA
Structure: relaxed

Structure (POSCAR):
```
K2PbC
1.0
-4.0639 -1.5827 3.3830
-4.7130 2.8670 0.1824
-4.6317 -2.1687 -2.0759
C K Pb
1 2 1
Direct
0.0000 0.0000 0.0000 C
0.2500 0.2500 0.2500 K
0.7500 0.7500 0.7500 K
0.5000 0.5000 0.5000 Pb
```

Properties
Energy relative to the elements: 1.440 eV/atom
Space-group type: Fm-3m, No. 225
V: 29.73 Å³ per atom
Crystal system: cubic
Total DFT energy (no corrections): -2.342 eV/atom
Offset from the most stable computed form: 2.27 eV/f.u.
Mass density: 4.15 g/cm3